No. 1
Compound: U2GaC
Source: the Alexandria database
Functional: PBE
Structure: relaxed

```
data_U2GaC
_cell_length_a 3.004
_cell_length_b 3.004
_cell_length_c 7.390
_cell_angle_alpha 90.00
_cell_angle_beta 90.00
_cell_angle_gamma 90.00
_symmetry_space_group_name_H-M 'P 4/m m m'
_symmetry_Int_Tables_number 123
_symmetry_space_group_name_Hall '-P 4 2'
loop_
_atom_site_label
_atom_site_type_symbol
_atom_site_fract_x
_atom_site_fract_y
_atom_site_fract_z
_atom_site_occupancy
U1 U 0.000 0.000 0.188 1
Ga1 Ga 0.500 0.500 0.500 1
C1 C 0.500 0.500 0.000 1
```

Formation enthalpy at 0 K   6 kJ per mole of atoms
Calculated total energy   -0.635 Ry per atom
V   67 Å³/cell
Magnetization   0.6744 μB per atom



No. 2
Compound: V8Ga2C3
Source: the Alexandria database
Functional: PBE
Structure: relaxed

```
data_V8Ga2C3
_cell_length_a 13.046
_cell_length_b 5.670
_cell_length_c 4.999
_cell_angle_alpha 90.00
_cell_angle_beta 110.47
_cell_angle_gamma 90.00
_symmetry_space_group_name_H-M 'C 1 2/m 1'
_symmetry_Int_Tables_number 12
_symmetry_space_group_name_Hall '-C 2y'
loop_
_atom_site_label
_atom_site_type_symbol
_atom_site_fract_x
_atom_site_fract_y
_atom_site_fract_z
_atom_site_occupancy
V1 V 0.083 0.240 0.418 1
V2 V 0.086 0.500 0.909 1
V3 V 0.122 0.000 0.974 1
Ga1 Ga 0.243 0.500 0.381 1
C1 C 0.000 0.238 0.000 1
C2 C 0.000 0.500 0.500 1
```

Formation enthalpy at 0 K   -8 kJ per mole of atoms
Calculated total energy   -0.609 Ry per atom
V   346 Å³/cell
Magnetization   0.0000 μB per atom



No. 3
Compound: VGaC2
Source: the Alexandria database
Functional: PBE
Structure: relaxed

```
data_VGaC2
_cell_length_a 4.629
_cell_length_b 4.629
_cell_length_c 9.146
_cell_angle_alpha 90.00
_cell_angle_beta 90.00
_cell_angle_gamma 90.00
_symmetry_space_group_name_H-M 'I -4 2 d'
_symmetry_Int_Tables_number 122
_symmetry_space_group_name_Hall 'I -4 2bw'
loop_
_atom_site_label
_atom_site_type_symbol
_atom_site_fract_x
_atom_site_fract_y
_atom_site_fract_z
_atom_site_occupancy
V1 V 0.000 0.000 0.000 1
Ga1 Ga 0.000 0.000 0.500 1
C1 C 0.226 0.250 0.125 1
```

Formation enthalpy at 0 K   42 kJ per mole of atoms
Calculated total energy   -0.531 Ry per atom
V   196 Å³/cell
Magnetization   0.0000 μB per atom



No. 4
Compound: V8Ga2C
Source: the Alexandria database
Functional: PBE
Structure: relaxed

```
data_V8Ga2C
_cell_length_a 14.179
_cell_length_b 4.131
_cell_length_c 5.162
_cell_angle_alpha 90.00
_cell_angle_beta 108.00
_cell_angle_gamma 90.00
_symmetry_space_group_name_H-M 'C 1 2/m 1'
_symmetry_Int_Tables_number 12
_symmetry_space_group_name_Hall '-C 2y'
loop_
_atom_site_label
_atom_site_type_symbol
_atom_site_fract_x
_atom_site_fract_y
_atom_site_fract_z
_atom_site_occupancy
V1 V 0.002 0.000 0.239 1
V2 V 0.085 0.500 0.715 1
V3 V 0.130 0.500 0.255 1
V4 V 0.221 0.000 0.112 1
Ga1 Ga 0.174 0.000 0.595 1
C1 C 0.000 0.500 0.000 1
```

Formation enthalpy at 0 K   -12 kJ per mole of atoms
Calculated total energy   -0.598 Ry per atom
V   288 Å³/cell
Magnetization   0.0000 μB per atom



No. 5
Compound: V3Ga2C
Source: the Alexandria database
Functional: PBE
Structure: relaxed

```
data_V3Ga2C
_cell_length_a 6.655
_cell_length_b 6.655
_cell_length_c 6.655
_cell_angle_alpha 90.00
_cell_angle_beta 90.00
_cell_angle_gamma 90.00
_symmetry_space_group_name_H-M 'P 41 3 2'
_symmetry_Int_Tables_number 213
_symmetry_space_group_name_Hall 'P 4bd 2ab 3'
loop_
_atom_site_label
_atom_site_type_symbol
_atom_site_fract_x
_atom_site_fract_y
_atom_site_fract_z
_atom_site_occupancy
V1 V 0.042 0.125 0.792 1
Ga1 Ga 0.068 0.932 0.432 1
C1 C 0.125 0.375 0.625 1
```

Formation enthalpy at 0 K   -37 kJ per mole of atoms
Calculated total energy   -0.550 Ry per atom
V   295 Å³/cell
Magnetization   0.0000 μB per atom
Offset from the most stable computed form   0.000 eV/atom



No. 6
Compound: V6Ga2C
Source: the Alexandria database
Functional: PBE
Structure: relaxed

```
data_V6Ga2C
_cell_length_a 5.731
_cell_length_b 5.857
_cell_length_c 6.966
_cell_angle_alpha 90.00
_cell_angle_beta 90.00
_cell_angle_gamma 90.00
_symmetry_space_group_name_H-M 'I m m m'
_symmetry_Int_Tables_number 71
_symmetry_space_group_name_Hall '-I 2 2'
loop_
_atom_site_label
_atom_site_type_symbol
_atom_site_fract_x
_atom_site_fract_y
_atom_site_fract_z
_atom_site_occupancy
V1 V 0.000 0.000 0.215 1
V2 V 0.248 0.253 0.000 1
Ga1 Ga 0.000 0.500 0.255 1
C1 C 0.000 0.000 0.500 1
```

Formation enthalpy at 0 K   -27 kJ per mole of atoms
Calculated total energy   -0.592 Ry per atom
V   234 Å³/cell
Magnetization   0.0000 μB per atom